This record from the Alexandria database describes Li2NiO2 after structural relaxation. The functional is GGA+U.

```
data_Li2NiO2
_space_group_name_H-M_alt 'C 1 2/m 1'
_space_group_IT_number 12
_cell_length_a 8.6650
_cell_length_b 5.2774
_cell_length_c 2.6514
_cell_angle_alpha 90.00
_cell_angle_beta 90.21
_cell_angle_gamma 90.00
loop_
_space_group_symop_operation_xyz
'x,y,z'
'-x,-y,-z'
'-x,y,-z'
'x,-y,z'
'x+1/2,y+1/2,z'
'-x+1/2,-y+1/2,-z'
'-x+1/2,y+1/2,-z'
'x+1/2,-y+1/2,z'
loop_
_atom_site_label
_atom_site_fract_x
_atom_site_fract_y
_atom_site_fract_z
_atom_site_occupancy
Li1 0.2500 0.2500 0.0000 1
Ni1 0.0000 0.0000 0.0000 1
O1 0.1569 0.0000 0.4999 1
```

Results
* energy above the most stable polymorph in this dataset: 13.6 kJ/mol of atoms